The following is a DFT calculation (PBE) of a geometry-optimized AlAuS2 structure.

a = 10.818 Å, b = 10.942 Å, c = 12.928 Å
α = 90.00°, β = 103.10°, γ = 90.00°
Space group C2/c (No. 15)
Inequivalent atoms, fractional coordinates:
Al: 0.086 0.162 0.151 [8 per cell]
Al: 0.163 0.406 0.346 [8 per cell]
Au: 0.035 0.381 0.594 [8 per cell]
Au: 0.235 0.112 0.915 [8 per cell]
S: 0.000 0.038 0.250 [4 per cell]
S: 0.000 0.474 0.750 [4 per cell]
S: 0.080 0.276 0.450 [8 per cell]
S: 0.175 0.020 0.058 [8 per cell]
S: 0.246 0.283 0.238 [8 per cell]

Summary:
- E_tot: -4.475 eV per atom
- Crystal system: monoclinic